Entry 1:
DFT (PBE-GGA) results for a relaxed structure of Pm3ZnSi2.

Geometry as extended XYZ:
```
24
Lattice="11.729 0.000 0.000 0.000 4.258 0.000 0.000 0.000 11.826" Properties=species:S:1:pos:R:3 pbc="T T T"
Pm 0.702 1.064 1.415
Pm 1.466 3.193 6.667
Pm 2.336 1.064 9.480
Pm 3.529 3.193 3.567
Pm 4.398 1.064 0.754
Pm 5.163 3.193 7.328
Pm 6.566 1.064 4.498
Pm 7.331 3.193 11.072
Pm 8.200 1.064 8.259
Pm 9.393 3.193 2.346
Pm 10.263 1.064 5.159
Pm 11.027 3.193 10.411
Zn 1.595 1.064 4.294
Zn 4.270 3.193 10.207
Zn 7.459 1.064 1.619
Zn 10.134 3.193 7.532
Si 0.329 3.193 3.769
Si 2.224 3.193 11.729
Si 3.641 1.064 5.816
Si 5.536 1.064 9.682
Si 6.193 3.193 2.144
Si 8.088 3.193 6.010
Si 9.505 1.064 0.097
Si 11.400 1.064 8.057
```

Uncorrected formation energy   -594 meV per atom
ΔE to the lowest computed polymorph   0 meV per atom

=====

Entry 2:
DFT (PBE-GGA) results for a relaxed structure of PmZnSi.

Geometry as extended XYZ:
```
3
Lattice="4.165 0.000 0.000 -2.082 3.607 0.000 0.000 0.000 4.197" Properties=species:S:1:pos:R:3 pbc="T T T"
Pm 0.000 0.000 0.000
Zn 2.082 1.202 2.099
Si 0.000 2.404 2.099
```

Uncorrected formation energy   -644 meV per atom
ΔE to the lowest computed polymorph   2 meV per atom

=====

Entry 3:
DFT (PBE-GGA) results for a relaxed structure of Pm4Zn3Si.

Geometry as extended XYZ:
```
8
Lattice="2.573 1.486 8.443 -2.573 1.486 8.443 0.000 -2.971 8.443" Properties=species:S:1:pos:R:3 pbc="T T T"
Pm 0.000 0.000 3.085
Pm 0.000 0.000 9.428
Pm 0.000 0.000 15.900
Pm 0.000 0.000 22.243
Zn 0.000 0.000 6.166
Zn 0.000 0.000 12.664
Zn 0.000 0.000 19.162
Si 0.000 0.000 0.000
```

Uncorrected formation energy   -389 meV per atom